# 1
Compound: DyEr2Zr
Source: Alexandria
Functional: PBE
Structure: optimized geometry

Computed properties:
Size of the total moment: 0.00 μB per formula unit
Offset from the most stable computed form: 0.237 eV/atom
DFT total energy: -5.279 eV/atom
Volume: 28.7 A^3/atom

Lattice parameters (Å, degrees): 3.3377 3.3377 12.0573 82.04 82.04 60.00
Fractional positions:
Er  0.0867  0.0867  0.7398
Er  0.9133  0.9133  0.2602
Zr  0.0000  0.0000  0.0000
Dy  0.5000  0.5000  0.5000

# 2
Compound: MnTlRh3
Source: Alexandria
Functional: PBE
Structure: optimized geometry

Computed properties:
Size of the total moment: 0.82 μB per formula unit
Offset from the most stable computed form: 1.450 eV/atom
DFT total energy: -4.519 eV/atom
Volume: 23.4 A^3/atom

Lattice parameters (Å, degrees): 4.8935 4.8935 4.8935 90.00 90.00 90.00
Last column: magnetic moment on the atom in μB.
Fractional positions:
Rh  0.0000  0.0000  0.5000  -0.03
Rh  0.0000  0.5000  0.0000  -0.05
Rh  0.5000  0.0000  0.0000  -0.07
Mn  0.5000  0.5000  0.5000  -0.64
Tl  0.0000  0.0000  0.0000  0.00

# 3
Compound: Ta2IrPd
Source: Alexandria
Functional: PBE
Structure: optimized geometry

Computed properties:
Size of the total moment: 0.00 μB per formula unit
DFT total energy: -9.887 eV/atom
Volume: 16.2 A^3/atom

Lattice parameters (Å, degrees): 4.0078 4.0215 4.0215 90.00 90.00 90.00
Fractional positions:
Pd  0.5000  0.0000  0.0000
Ta  0.0000  0.0000  0.5000
Ta  0.0000  0.5000  0.0000
Ir  0.5000  0.5000  0.5000

For the records above, the corresponding ΔH_f (0 K) values read 290 2199 -447 meV per atom.